# AcPmHo2P4

A relaxed structure of AcPmHo2P4 (PBE-GGA, the Alexandria database).

Lattice parameters (Å, degrees): 7.1745 4.1427 7.1798 90.00 109.40 90.00
Sites, in units of the cell vectors:
Ac1 0.0000 0.0000 0.0000
Pm1 0.0000 0.5000 0.5000
Ho1 0.5000 0.0000 0.5000
Ho2 0.5000 0.5000 0.0000
P1 0.2638 0.0000 0.7477
P2 0.2697 0.5000 0.2638
P3 0.7303 0.5000 0.7362
P4 0.7362 0.0000 0.2523

Values from the calculation:
- Symmetry: P2/m
- ρ: 6813 kg/m³
- DFT total energy: -0.47598 Ry per atom